(1)
Below is an optimized crystal structure of Ca4Ag2Rh, with properties calculated at the PBE level.

Lattice parameters (Å, degrees): 8.497 8.497 8.497 143.21 143.21 53.01
Atoms (fractional coordinates):
Ca  0.000  0.500  0.500
Ca  0.182  0.182  0.000
Ca  0.500  0.000  0.500
Ca  0.818  0.818  0.000
Ag  0.383  0.383  0.000
Ag  0.617  0.617  0.000
Rh  0.000  0.000  0.000

(2)
Below is an optimized crystal structure of Ca4Ag2Rh, with properties calculated at the PBE level.

Lattice parameters (Å, degrees): 8.869 8.869 8.869 33.46 33.46 33.46
Atoms (fractional coordinates):
Ca  0.121  0.121  0.121
Ca  0.371  0.371  0.371
Ca  0.629  0.629  0.629
Ca  0.879  0.879  0.879
Ag  0.250  0.250  0.250
Ag  0.750  0.750  0.750
Rh  0.000  0.000  0.000

Least stable: (1)

(1)
Below is an optimized crystal structure of CaTbAgRh, with properties calculated at the PBE level.

Lattice parameters (Å, degrees): 3.501 3.501 7.428 90.00 90.00 90.00
Atoms (fractional coordinates):
Ca  0.000  0.000  0.000
Tb  0.000  0.000  0.549
Ag  0.500  0.500  0.282
Rh  0.500  0.500  0.746

(2)
Below is an optimized crystal structure of CaTbAgRh, with properties calculated at the PBE level.

Lattice parameters (Å, degrees): 4.999 4.999 4.999 60.00 60.00 60.00
Atoms (fractional coordinates):
Ca  0.000  0.000  0.000
Tb  0.500  0.500  0.500
Ag  0.750  0.750  0.750
Rh  0.250  0.250  0.250

Least stable: (2)

(1)
Below is an optimized crystal structure of CaTmAgRh, with properties calculated at the PBE level.

Lattice parameters (Å, degrees): 3.449 3.449 7.437 90.00 90.00 90.00
Atoms (fractional coordinates):
Ca  0.000  0.000  0.000
Tm  0.000  0.000  0.549
Ag  0.500  0.500  0.288
Rh  0.500  0.500  0.742

(2)
Below is an optimized crystal structure of CaTmAgRh, with properties calculated at the PBE level.

Lattice parameters (Å, degrees): 4.953 4.953 4.953 60.00 60.00 60.00
Atoms (fractional coordinates):
Ca  0.000  0.000  0.000
Tm  0.500  0.500  0.500
Ag  0.750  0.750  0.750
Rh  0.250  0.250  0.250

Least stable: (2)

(1)
Below is an optimized crystal structure of CaAgRu2, with properties calculated at the PBE level.

Lattice parameters (Å, degrees): 2.695 4.512 5.956 90.00 90.00 90.00
Atoms (fractional coordinates):
Ca  0.000  0.000  0.000
Ag  0.000  0.000  0.500
Ru  0.500  0.500  0.295
Ru  0.500  0.500  0.705

(2)
Below is an optimized crystal structure of CaAgRu2, with properties calculated at the PBE level.

Lattice parameters (Å, degrees): 9.788 9.788 9.788 16.90 16.90 16.90
Atoms (fractional coordinates):
Ca  0.000  0.000  0.000
Ag  0.500  0.500  0.500
Ru  0.248  0.248  0.248
Ru  0.752  0.752  0.752

(3)
Below is an optimized crystal structure of CaAgRu2, with properties calculated at the PBE level.

Lattice parameters (Å, degrees): 4.646 4.646 4.646 60.00 60.00 60.00
Atoms (fractional coordinates):
Ca  0.000  0.000  0.000
Ag  0.500  0.500  0.500
Ru  0.250  0.250  0.250
Ru  0.750  0.750  0.750

(4)
Below is an optimized crystal structure of CaAgRu2, with properties calculated at the PBE level.

Lattice parameters (Å, degrees): 2.986 2.986 8.064 90.00 90.00 90.00
Atoms (fractional coordinates):
Ca  0.000  0.000  0.000
Ag  0.500  0.500  0.702
Ru  0.000  0.000  0.456
Ru  0.500  0.500  0.273

Least stable: (3)

(1)
Below is an optimized crystal structure of CaAgRu2, with properties calculated at the PBE level.

Lattice parameters (Å, degrees): 5.322 5.322 2.711 90.00 90.00 115.77
Atoms (fractional coordinates):
Ca  0.000  0.000  0.000
Ag  0.500  0.500  0.000
Ru  0.000  0.500  0.500
Ru  0.500  0.000  0.500

(2)
Below is an optimized crystal structure of CaAgRu2, with properties calculated at the PBE level.

Lattice parameters (Å, degrees): 6.102 6.102 6.102 100.30 100.30 129.96
Atoms (fractional coordinates):
Ca  0.000  0.000  0.000
Ca  0.750  0.250  0.500
Ag  0.250  0.750  0.500
Ag  0.500  0.500  0.000
Ru  0.155  0.625  0.030
Ru  0.375  0.405  0.530
Ru  0.595  0.125  0.970
Ru  0.875  0.845  0.470

(3)
Below is an optimized crystal structure of CaAgRu2, with properties calculated at the PBE level.

Lattice parameters (Å, degrees): 3.056 4.672 4.850 90.00 90.00 90.00
Atoms (fractional coordinates):
Ca  0.000  0.000  0.000
Ag  0.500  0.500  0.000
Ru  0.000  0.500  0.500
Ru  0.500  0.000  0.500

Least stable: (2)

(1)
Below is an optimized crystal structure of CaAgRu2, with properties calculated at the PBE level.

Lattice parameters (Å, degrees): 3.473 3.473 6.332 90.00 90.00 90.00
Atoms (fractional coordinates):
Ca  0.000  0.000  0.000
Ag  0.000  0.000  0.500
Ru  0.500  0.500  0.302
Ru  0.500  0.500  0.698

(2)
Below is an optimized crystal structure of CaAgRu2, with properties calculated at the PBE level.

Lattice parameters (Å, degrees): 5.619 5.619 2.840 102.71 102.71 121.02
Atoms (fractional coordinates):
Ca  0.000  0.000  0.000
Ag  0.500  0.500  0.000
Ru  0.000  0.500  0.500
Ru  0.500  0.000  0.500

Least stable: (1)

(1)
Below is an optimized crystal structure of CaAgRu2, with properties calculated at the PBE level.

Lattice parameters (Å, degrees): 3.919 3.919 4.545 90.00 90.00 90.00
Atoms (fractional coordinates):
Ca  0.000  0.000  0.000
Ag  0.500  0.500  0.000
Ru  0.000  0.500  0.500
Ru  0.500  0.000  0.500

(2)
Below is an optimized crystal structure of CaAgRu2, with properties calculated at the PBE level.

Lattice parameters (Å, degrees): 2.797 2.797 8.998 90.00 90.00 90.00
Atoms (fractional coordinates):
Ca  0.000  0.000  0.000
Ag  0.000  0.000  0.500
Ru  0.500  0.500  0.264
Ru  0.500  0.500  0.736

(3)
Below is an optimized crystal structure of CaAgRu2, with properties calculated at the PBE level.

Lattice parameters (Å, degrees): 5.383 5.383 5.383 137.01 137.01 62.42
Atoms (fractional coordinates):
Ca  0.000  0.000  0.000
Ag  0.500  0.500  0.000
Ru  0.250  0.750  0.500
Ru  0.750  0.250  0.500

(4)
Below is an optimized crystal structure of CaAgRu2, with properties calculated at the PBE level.

Lattice parameters (Å, degrees): 2.906 4.942 4.954 90.00 95.42 90.00
Atoms (fractional coordinates):
Ca  0.000  0.000  0.000
Ag  0.500  0.000  0.500
Ru  0.325  0.500  0.749
Ru  0.675  0.500  0.251

Least stable: (2)

(1)
Below is an optimized crystal structure of CaAgRu2, with properties calculated at the PBE level.

Lattice parameters (Å, degrees): 4.618 4.618 4.618 60.00 60.00 60.00
Atoms (fractional coordinates):
Ca  0.000  0.000  0.000
Ag  0.750  0.750  0.750
Ru  0.250  0.250  0.250
Ru  0.500  0.500  0.500

(2)
Below is an optimized crystal structure of CaAgRu2, with properties calculated at the PBE level.

Lattice parameters (Å, degrees): 4.662 4.662 5.724 97.57 97.57 36.57
Atoms (fractional coordinates):
Ca  0.000  0.000  0.000
Ag  0.239  0.239  0.728
Ru  0.493  0.493  0.454
Ru  0.757  0.757  0.319

Least stable: (1)